Crystalline Er2TmGa at its relaxed geometry, computed with PBE.

Its spin magnetization is 0.71 μB/f.u. The calculation puts the energy above the most stable polymorph in this dataset at 83.9 meV/atom. The value obtained for the calculated formation energy is -201 meV per atom. The total energy comes out at -4.357 eV per atom.

a = 3.562 Å, b = 3.562 Å, c = 10.273 Å
α = 80.02°, β = 80.02°, γ = 60.00°
Each line ends with the local moment (μB).
Positions (direct):
Er  0.072  0.072  0.784  0.14
Er  0.261  0.261  0.216  0.07
Tm  0.500  0.500  0.499  0.36
Ga  0.666  0.666  0.001  0.00



Crystalline KNb2Re at its relaxed geometry, computed with PBE.

Its spin magnetization is 0.00 μB/f.u. The calculation puts the energy above the most stable polymorph in this dataset at 536.9 meV/atom. The value obtained for the calculated formation energy is 1699 meV per atom. The total energy comes out at -6.722 eV per atom.

a = 5.277 Å, b = 5.277 Å, c = 9.392 Å
α = 73.68°, β = 73.68°, γ = 90.00°
Positions (direct):
Nb  0.918  0.625  0.250
Nb  0.875  0.082  0.750
Nb  0.832  0.125  0.250
Nb  0.375  0.168  0.750
K  0.250  0.750  0.500
K  0.500  0.500  0.000
Re  0.750  0.250  0.500
Re  0.000  0.000  0.000



Crystalline Sm2Er2TmMg5 at its relaxed geometry, computed with PBE.

Its spin magnetization is 0.00 μB/f.u. The value obtained for the calculated formation energy is 53 meV per atom. The total energy comes out at -3.048 eV per atom.

a = 5.046 Å, b = 10.559 Å, c = 10.559 Å
α = 90.00°, β = 90.00°, γ = 90.00°
Positions (direct):
Er  0.000  0.119  0.619
Er  0.000  0.881  0.381
Er  0.000  0.619  0.881
Er  0.000  0.381  0.119
Mg  0.500  0.698  0.431
Mg  0.500  0.198  0.069
Mg  0.500  0.431  0.302
Mg  0.500  0.569  0.698
Mg  0.500  0.931  0.198
Mg  0.500  0.000  0.500
Mg  0.500  0.500  0.000
Mg  0.500  0.802  0.931
Mg  0.500  0.069  0.802
Mg  0.500  0.302  0.569
Sm  0.000  0.678  0.178
Sm  0.000  0.822  0.678
Sm  0.000  0.322  0.822
Sm  0.000  0.178  0.322
Tm  0.000  0.000  0.000
Tm  0.000  0.500  0.500



Crystalline NbVCuPt at its relaxed geometry, computed with PBE.

Its spin magnetization is 0.00 μB/f.u. The value obtained for the calculated formation energy is -118 meV per atom. The total energy comes out at -7.450 eV per atom.

a = 4.368 Å, b = 4.368 Å, c = 4.368 Å
α = 60.00°, β = 60.00°, γ = 60.00°
Positions (direct):
V  0.500  0.500  0.500
Nb  0.750  0.750  0.750
Cu  0.000  0.000  0.000
Pt  0.250  0.250  0.250



Crystalline BaFeOs2 at its relaxed geometry, computed with PBE.

Its spin magnetization is 0.00 μB/f.u. The calculation puts the energy above the most stable polymorph in this dataset at 1469.5 meV/atom. The value obtained for the calculated formation energy is 1808 meV per atom. The total energy comes out at -6.404 eV per atom.

a = 4.654 Å, b = 4.654 Å, c = 4.654 Å
α = 60.00°, β = 60.00°, γ = 60.00°
Positions (direct):
Fe  0.000  0.000  0.000
Os  0.250  0.250  0.250
Os  0.750  0.750  0.750
Ba  0.500  0.500  0.500



Crystalline CoHg2Cl at its relaxed geometry, computed with PBE.

As for the formation energy from raw total energies: 0.26 eV/atom. Its spin magnetization is 1.59 μB/f.u. The calculation puts the energy above the most stable polymorph in this dataset at 280.9 meV/atom. The total energy comes out at -2.127 eV per atom.

a = 3.177 Å, b = 3.183 Å, c = 7.808 Å
α = 90.00°, β = 90.00°, γ = 90.00°
Each line ends with the local moment (μB).
Positions (direct):
Co  0.500  0.500  0.750  1.60
Hg  0.000  0.000  0.532  -0.01
Hg  0.000  0.000  0.968  -0.01
Cl  0.500  0.500  0.250  0.02